#A
# MgZnCr (PBE, relaxed)
data_MgZnCr
_chemical_formula_sum 'Mg1 Zn1 Cr1'
_cell_length_a 4.397
_cell_length_b 4.397
_cell_length_c 4.397
_cell_angle_alpha 60.00
_cell_angle_beta 60.00
_cell_angle_gamma 60.00
_symmetry_space_group_name_H-M 'P 1'
_symmetry_Int_Tables_number 1
loop_
_symmetry_equiv_pos_as_xyz
'x,y,z'
loop_
_atom_site_label
_atom_site_type_symbol
_atom_site_fract_x
_atom_site_fract_y
_atom_site_fract_z
Mg1 Mg 0.000 0.000 0.000
Zn1 Zn 0.750 0.750 0.750
Cr1 Cr 0.500 0.500 0.500
# **N(E_F)**: 1.68 states/eV/f.u.
# **Space-group type**: No. 216

=====

#B
# MgZnCr (PBE, relaxed)
data_MgZnCr
_chemical_formula_sum 'Mg1 Zn1 Cr1'
_cell_length_a 6.635
_cell_length_b 6.635
_cell_length_c 6.635
_cell_angle_alpha 156.98
_cell_angle_beta 156.98
_cell_angle_gamma 32.79
_symmetry_space_group_name_H-M 'P 1'
_symmetry_Int_Tables_number 1
loop_
_symmetry_equiv_pos_as_xyz
'x,y,z'
loop_
_atom_site_label
_atom_site_type_symbol
_atom_site_fract_x
_atom_site_fract_y
_atom_site_fract_z
Mg1 Mg 0.000 0.000 0.000
Zn1 Zn 0.681 0.681 0.000
Cr1 Cr 0.332 0.332 0.000
# **N(E_F)**: 2.26 states/eV/f.u.
# **Space-group type**: No. 107

=====

Which of them is the least stable? Correct choice: #A.

=====

#A
# MgZnCr (PBE, relaxed)
data_MgZnCr
_chemical_formula_sum 'Mg1 Zn1 Cr1'
_cell_length_a 5.626
_cell_length_b 5.626
_cell_length_c 3.128
_cell_angle_alpha 106.06
_cell_angle_beta 106.06
_cell_angle_gamma 32.28
_symmetry_space_group_name_H-M 'P 1'
_symmetry_Int_Tables_number 1
loop_
_symmetry_equiv_pos_as_xyz
'x,y,z'
loop_
_atom_site_label
_atom_site_type_symbol
_atom_site_fract_x
_atom_site_fract_y
_atom_site_fract_z
Mg1 Mg 0.000 0.000 0.000
Zn1 Zn 0.676 0.676 0.677
Cr1 Cr 0.316 0.316 0.316
# **N(E_F)**: 1.19 states/eV/f.u.
# **Space-group type**: No. 8

=====

#B
# MgZnCr (PBE, relaxed)
data_MgZnCr
_chemical_formula_sum 'Mg1 Zn1 Cr1'
_cell_length_a 4.496
_cell_length_b 4.496
_cell_length_c 2.903
_cell_angle_alpha 90.00
_cell_angle_beta 90.00
_cell_angle_gamma 120.00
_symmetry_space_group_name_H-M 'P 1'
_symmetry_Int_Tables_number 1
loop_
_symmetry_equiv_pos_as_xyz
'x,y,z'
loop_
_atom_site_label
_atom_site_type_symbol
_atom_site_fract_x
_atom_site_fract_y
_atom_site_fract_z
Mg1 Mg 0.000 0.000 0.000
Zn1 Zn 0.333 0.667 0.272
Cr1 Cr 0.667 0.333 0.584
# **N(E_F)**: 1.71 states/eV/f.u.
# **Space-group type**: No. 156

=====

#C
# MgZnCr (PBE, relaxed)
data_MgZnCr
_chemical_formula_sum 'Mg1 Zn1 Cr1'
_cell_length_a 6.806
_cell_length_b 6.699
_cell_length_c 2.649
_cell_angle_alpha 80.97
_cell_angle_beta 76.42
_cell_angle_gamma 22.61
_symmetry_space_group_name_H-M 'P 1'
_symmetry_Int_Tables_number 1
loop_
_symmetry_equiv_pos_as_xyz
'x,y,z'
loop_
_atom_site_label
_atom_site_type_symbol
_atom_site_fract_x
_atom_site_fract_y
_atom_site_fract_z
Mg1 Mg 0.000 0.000 0.000
Zn1 Zn 0.681 0.681 0.319
Cr1 Cr 0.334 0.334 0.666
# **N(E_F)**: 1.86 states/eV/f.u.
# **Space-group type**: No. 42

=====

Which of them is the least stable? Correct choice: #C.

=====

#A
# Mg2ZrCr (PBE, relaxed)
data_Mg2ZrCr
_chemical_formula_sum 'Mg2 Zr1 Cr1'
_cell_length_a 5.864
_cell_length_b 5.864
_cell_length_c 4.715
_cell_angle_alpha 113.56
_cell_angle_beta 113.56
_cell_angle_gamma 32.11
_symmetry_space_group_name_H-M 'P 1'
_symmetry_Int_Tables_number 1
loop_
_symmetry_equiv_pos_as_xyz
'x,y,z'
loop_
_atom_site_label
_atom_site_type_symbol
_atom_site_fract_x
_atom_site_fract_y
_atom_site_fract_z
Mg1 Mg 0.228 0.228 0.228
Mg2 Mg 0.772 0.772 0.772
Zr1 Zr 0.000 0.000 0.500
Cr1 Cr 0.500 0.500 0.000
# **N(E_F)**: 3.41 states/eV/f.u.
# **Space-group type**: No. 12

=====

#B
# Mg2ZrCr (PBE, relaxed)
data_Mg2ZrCr
_chemical_formula_sum 'Mg2 Zr1 Cr1'
_cell_length_a 5.409
_cell_length_b 5.409
_cell_length_c 3.056
_cell_angle_alpha 90.00
_cell_angle_beta 90.00
_cell_angle_gamma 113.33
_symmetry_space_group_name_H-M 'P 1'
_symmetry_Int_Tables_number 1
loop_
_symmetry_equiv_pos_as_xyz
'x,y,z'
loop_
_atom_site_label
_atom_site_type_symbol
_atom_site_fract_x
_atom_site_fract_y
_atom_site_fract_z
Mg1 Mg 0.000 0.500 0.000
Mg2 Mg 0.500 0.000 0.000
Zr1 Zr 0.000 0.000 0.500
Cr1 Cr 0.500 0.500 0.500
# **N(E_F)**: 2.81 states/eV/f.u.
# **Space-group type**: No. 65

=====

Which of them is the least stable? Correct choice: #B.

=====

#A
# Mg2ZrCr (PBE, relaxed)
data_Mg2ZrCr
_chemical_formula_sum 'Mg2 Zr1 Cr1'
_cell_length_a 2.951
_cell_length_b 4.797
_cell_length_c 5.887
_cell_angle_alpha 90.00
_cell_angle_beta 102.61
_cell_angle_gamma 90.00
_symmetry_space_group_name_H-M 'P 1'
_symmetry_Int_Tables_number 1
loop_
_symmetry_equiv_pos_as_xyz
'x,y,z'
loop_
_atom_site_label
_atom_site_type_symbol
_atom_site_fract_x
_atom_site_fract_y
_atom_site_fract_z
Mg1 Mg 0.075 0.000 0.263
Mg2 Mg 0.925 0.000 0.737
Zr1 Zr 0.500 0.500 0.000
Cr1 Cr 0.500 0.500 0.500
# **N(E_F)**: 3.52 states/eV/f.u.
# **Space-group type**: No. 10

=====

#B
# Mg2ZrCr (PBE, relaxed)
data_Mg2ZrCr
_chemical_formula_sum 'Mg2 Zr1 Cr1'
_cell_length_a 10.355
_cell_length_b 10.355
_cell_length_c 10.355
_cell_angle_alpha 16.99
_cell_angle_beta 16.99
_cell_angle_gamma 16.99
_symmetry_space_group_name_H-M 'P 1'
_symmetry_Int_Tables_number 1
loop_
_symmetry_equiv_pos_as_xyz
'x,y,z'
loop_
_atom_site_label
_atom_site_type_symbol
_atom_site_fract_x
_atom_site_fract_y
_atom_site_fract_z
Mg1 Mg 0.244 0.244 0.244
Mg2 Mg 0.756 0.756 0.756
Zr1 Zr 0.000 0.000 0.000
Cr1 Cr 0.500 0.500 0.500
# **N(E_F)**: 4.54 states/eV/f.u.
# **Space-group type**: No. 166

=====

Which of them is the least stable? Correct choice: #B.

=====

#A
# Mn3Cr5 (PBE, relaxed)
data_Mn3Cr5
_chemical_formula_sum 'Mn6 Cr10'
_cell_length_a 6.412
_cell_length_b 6.412
_cell_length_c 7.052
_cell_angle_alpha 93.46
_cell_angle_beta 93.46
_cell_angle_gamma 139.64
_symmetry_space_group_name_H-M 'P 1'
_symmetry_Int_Tables_number 1
loop_
_symmetry_equiv_pos_as_xyz
'x,y,z'
loop_
_atom_site_label
_atom_site_type_symbol
_atom_site_fract_x
_atom_site_fract_y
_atom_site_fract_z
Mn1 Mn 0.000 0.000 0.000
Mn2 Mn 0.188 0.188 0.722
Mn3 Mn 0.342 0.930 0.854
Mn4 Mn 0.413 0.769 0.361
Mn5 Mn 0.769 0.413 0.361
Mn6 Mn 0.930 0.342 0.854
Cr1 Cr 0.216 0.863 0.159
Cr2 Cr 0.307 0.964 0.542
Cr3 Cr 0.329 0.329 0.352
Cr4 Cr 0.427 0.626 0.040
Cr5 Cr 0.555 0.758 0.691
Cr6 Cr 0.626 0.427 0.040
Cr7 Cr 0.758 0.555 0.691
Cr8 Cr 0.851 0.851 0.366
Cr9 Cr 0.863 0.216 0.159
Cr10 Cr 0.964 0.307 0.542
# **N(E_F)**: 10.29 states/eV/f.u.
# **Space-group type**: No. 8

=====

#B
# Mn3Cr5 (PBE, relaxed)
data_Mn3Cr5
_chemical_formula_sum 'Mn6 Cr10'
_cell_length_a 7.122
_cell_length_b 7.122
_cell_length_c 6.495
_cell_angle_alpha 96.21
_cell_angle_beta 96.21
_cell_angle_gamma 143.39
_symmetry_space_group_name_H-M 'P 1'
_symmetry_Int_Tables_number 1
loop_
_symmetry_equiv_pos_as_xyz
'x,y,z'
loop_
_atom_site_label
_atom_site_type_symbol
_atom_site_fract_x
_atom_site_fract_y
_atom_site_fract_z
Mn1 Mn 0.000 0.000 0.000
Mn2 Mn 0.110 0.610 0.218
Mn3 Mn 0.122 0.499 0.620
Mn4 Mn 0.499 0.122 0.620
Mn5 Mn 0.610 0.110 0.218
Mn6 Mn 0.633 0.633 0.267
Cr1 Cr 0.055 0.244 0.299
Cr2 Cr 0.086 0.086 0.660
Cr3 Cr 0.116 0.757 0.873
Cr4 Cr 0.244 0.055 0.299
Cr5 Cr 0.383 0.603 0.986
Cr6 Cr 0.574 0.574 0.660
Cr7 Cr 0.589 0.874 0.463
Cr8 Cr 0.603 0.383 0.986
Cr9 Cr 0.757 0.116 0.873
Cr10 Cr 0.874 0.589 0.463
# **N(E_F)**: 9.68 states/eV/f.u.
# **Space-group type**: No. 8

=====

#C
# Mn3Cr5 (PBE, relaxed)
data_Mn3Cr5
_chemical_formula_sum 'Mn6 Cr10'
_cell_length_a 6.816
_cell_length_b 6.816
_cell_length_c 4.633
_cell_angle_alpha 90.00
_cell_angle_beta 90.00
_cell_angle_gamma 120.00
_symmetry_space_group_name_H-M 'P 1'
_symmetry_Int_Tables_number 1
loop_
_symmetry_equiv_pos_as_xyz
'x,y,z'
loop_
_atom_site_label
_atom_site_type_symbol
_atom_site_fract_x
_atom_site_fract_y
_atom_site_fract_z
Mn1 Mn 0.000 0.405 0.250
Mn2 Mn 0.000 0.595 0.750
Mn3 Mn 0.405 0.000 0.250
Mn4 Mn 0.405 0.405 0.750
Mn5 Mn 0.595 0.000 0.750
Mn6 Mn 0.595 0.595 0.250
Cr1 Cr 0.000 0.235 0.750
Cr2 Cr 0.000 0.765 0.250
Cr3 Cr 0.235 0.000 0.750
Cr4 Cr 0.235 0.235 0.250
Cr5 Cr 0.333 0.667 0.000
Cr6 Cr 0.333 0.667 0.500
Cr7 Cr 0.667 0.333 0.000
Cr8 Cr 0.667 0.333 0.500
Cr9 Cr 0.765 0.000 0.250
Cr10 Cr 0.765 0.765 0.750
# **N(E_F)**: 9.61 states/eV/f.u.
# **Space-group type**: No. 193

=====

Which of them is the least stable? Correct choice: #C.

=====

#A
# Mn4Cr (PBE, relaxed)
data_Mn4Cr
_chemical_formula_sum 'Mn4 Cr1'
_cell_length_a 4.325
_cell_length_b 4.325
_cell_length_c 4.325
_cell_angle_alpha 99.52
_cell_angle_beta 99.52
_cell_angle_gamma 132.02
_symmetry_space_group_name_H-M 'P 1'
_symmetry_Int_Tables_number 1
loop_
_symmetry_equiv_pos_as_xyz
'x,y,z'
loop_
_atom_site_label
_atom_site_type_symbol
_atom_site_fract_x
_atom_site_fract_y
_atom_site_fract_z
Mn1 Mn 0.095 0.698 0.793
Mn2 Mn 0.302 0.095 0.397
Mn3 Mn 0.698 0.905 0.603
Mn4 Mn 0.905 0.302 0.207
Cr1 Cr 0.500 0.500 0.000
# **N(E_F)**: 6.67 states/eV/f.u.
# **Space-group type**: No. 87

=====

#B
# Mn4Cr (PBE, relaxed)
data_Mn4Cr
_chemical_formula_sum 'Mn4 Cr1'
_cell_length_a 5.236
_cell_length_b 5.236
_cell_length_c 5.236
_cell_angle_alpha 137.89
_cell_angle_beta 137.89
_cell_angle_gamma 61.07
_symmetry_space_group_name_H-M 'P 1'
_symmetry_Int_Tables_number 1
loop_
_symmetry_equiv_pos_as_xyz
'x,y,z'
loop_
_atom_site_label
_atom_site_type_symbol
_atom_site_fract_x
_atom_site_fract_y
_atom_site_fract_z
Mn1 Mn 0.118 0.118 0.000
Mn2 Mn 0.250 0.750 0.500
Mn3 Mn 0.750 0.250 0.500
Mn4 Mn 0.882 0.882 0.000
Cr1 Cr 0.500 0.500 0.000
# **N(E_F)**: 5.33 states/eV/f.u.
# **Space-group type**: No. 139

=====

#C
# Mn4Cr (PBE, relaxed)
data_Mn4Cr
_chemical_formula_sum 'Mn4 Cr1'
_cell_length_a 4.280
_cell_length_b 4.280
_cell_length_c 4.280
_cell_angle_alpha 90.00
_cell_angle_beta 90.00
_cell_angle_gamma 90.00
_symmetry_space_group_name_H-M 'P 1'
_symmetry_Int_Tables_number 1
loop_
_symmetry_equiv_pos_as_xyz
'x,y,z'
loop_
_atom_site_label
_atom_site_type_symbol
_atom_site_fract_x
_atom_site_fract_y
_atom_site_fract_z
Mn1 Mn 0.000 0.000 0.000
Mn2 Mn 0.000 0.500 0.500
Mn3 Mn 0.500 0.000 0.500
Mn4 Mn 0.500 0.500 0.000
Cr1 Cr 0.500 0.500 0.500
# **N(E_F)**: 6.45 states/eV/f.u.
# **Space-group type**: No. 221

=====

Which of them is the least stable? Correct choice: #C.